Ce4Co2Ir: optimized geometry, GGA-PBE.

## Properties
- magnetic moment (Bohr magnetons per cell) = 0.01
- energy relative to the lowest polymorph listed for this composition (meV/atom) = 0.0
- energy of formation from the pure elements (meV/atom) = -336

a b c (Å): 6.9459 6.6966 7.8769
angles (deg): 107.92 109.14 105.43
Positions (direct):
1 Co 0.2313 0.5873 0.0890
2 Co 0.5623 0.1259 0.9211
3 Co 0.3912 0.4547 0.5789
4 Co 0.8922 0.7483 0.4109
5 Ce 0.2278 0.9791 0.3263
6 Ce 0.0145 0.4308 0.3050
7 Ce 0.1143 0.2229 0.7056
8 Ce 0.1587 0.7673 0.7944
9 Ce 0.6515 0.9028 0.1737
10 Ce 0.7389 0.4558 0.8850
11 Ce 0.4595 0.3759 0.1950
12 Ce 0.6039 0.8209 0.6151
13 Ir 0.9703 0.0573 0.9865
14 Ir 0.7338 0.3209 0.5135

HgAu2Cl: optimized geometry, GGA-PBE.

## Properties
- magnetic moment (Bohr magnetons per cell) = 0.00
- energy relative to the lowest polymorph listed for this composition (meV/atom) = 326.7

a b c (Å): 4.9049 4.9049 4.9049
angles (deg): 60.00 60.00 60.00
Positions (direct):
1 Au 0.2500 0.2500 0.2500
2 Au 0.0000 0.0000 0.0000
3 Hg 0.7500 0.7500 0.7500
4 Cl 0.5000 0.5000 0.5000